No. 1
Here is Al4P after structural relaxation from the Alexandria database. Energies are from PBE-GGA.

Summary:
Raw total energy   -3.791 eV per atom
Energy of formation   0.29 eV per atom
Volume   19.46 Å³/atom
Energy above the most stable polymorph in this dataset   95 kJ/mol of formula units

Cell lengths 5.018, 5.018, 5.018 Å; angles 109.47, 109.47, 109.47 degrees
Fractional positions:
P (0.000, 0.000, 0.000)
Al (0.500, 0.000, 0.000)
Al (0.500, 0.500, 0.500)
Al (0.000, 0.000, 0.500)
Al (0.000, 0.500, 0.000)


No. 2
Here is NiAgSe2 after structural relaxation from the Alexandria database. Energies are from PBE-GGA.

Summary:
Raw total energy   -3.978 eV per atom
Volume   23.50 Å³/atom
Energy above the most stable polymorph in this dataset   27 kJ/mol of formula units

Cell lengths 3.408, 5.017, 7.472 Å; angles 47.38, 90.00, 90.00 degrees
Fractional positions:
Se (0.000, 0.830, 0.923)
Se (0.000, 0.670, 0.577)
Ag (0.500, 0.250, 0.250)
Ni (0.500, 0.750, 0.750)


No. 3
Here is LiCuTcF6 after structural relaxation from the Alexandria database. Energies are from PBE-GGA.

Summary:
Raw total energy   -5.134 eV per atom
Volume   12.16 Å³/atom

Cell lengths 5.223, 5.223, 9.267 Å; angles 90.00, 90.00, 120.00 degrees
Fractional positions:
F (0.649, 0.658, 0.633)
F (0.009, 0.351, 0.633)
F (0.658, 0.009, 0.367)
F (0.658, 0.649, 0.133)
F (0.342, 0.351, 0.867)
F (0.991, 0.649, 0.367)
F (0.009, 0.658, 0.867)
F (0.351, 0.009, 0.133)
F (0.991, 0.342, 0.133)
F (0.351, 0.342, 0.367)
F (0.649, 0.991, 0.867)
F (0.342, 0.991, 0.633)
Cu (0.000, 0.000, 0.500)
Cu (0.000, 0.000, 0.000)
Li (0.667, 0.333, 0.750)
Li (0.333, 0.667, 0.250)
Tc (0.333, 0.667, 0.750)
Tc (0.667, 0.333, 0.250)


No. 4
Here is K2YZr after structural relaxation from the Alexandria database. Energies are from PBE-GGA.

Summary:
Raw total energy   -3.609 eV per atom
Energy of formation   0.69 eV per atom
Volume   44.78 Å³/atom
Energy above the most stable polymorph in this dataset   117 kJ/mol of formula units

Cell lengths 5.763, 5.763, 9.719 Å; angles 87.52, 87.52, 33.74 degrees
Fractional positions:
Zr (0.242, 0.242, 0.334)
K (0.752, 0.752, 0.700)
K (0.993, 0.993, 0.051)
Y (0.513, 0.513, 0.415)


No. 5
Here is GaOsCl3 after structural relaxation from the Alexandria database. Energies are from PBE-GGA.

Summary:
Raw total energy   -3.165 eV per atom
Volume   24.94 Å³/atom
Energy above the most stable polymorph in this dataset   340 kJ/mol of formula units

Cell lengths 4.996, 4.996, 4.996 Å; angles 90.00, 90.00, 90.00 degrees
Fractional positions:
Ga (0.000, 0.000, 0.000)
Cl (0.000, 0.500, 0.000)
Cl (0.500, 0.000, 0.000)
Cl (0.000, 0.000, 0.500)
Os (0.500, 0.500, 0.500)


No. 6
Here is KBa2W after structural relaxation from the Alexandria database. Energies are from PBE-GGA.

Summary:
Raw total energy   -3.296 eV per atom
Energy of formation   1.18 eV per atom
Volume   45.75 Å³/atom
Energy above the most stable polymorph in this dataset   70 kJ/mol of formula units

Cell lengths 10.047, 10.047, 5.617 Å; angles 73.76, 73.76, 19.67 degrees
Fractional positions:
Ba (0.905, 0.905, 0.095)
Ba (0.748, 0.748, 0.752)
W (0.260, 0.260, 0.240)
K (0.587, 0.587, 0.413)


No. 7
Here is Na3MgPCO7 after structural relaxation from the Alexandria database. Energies are from PBE-GGA.

Summary:
Raw total energy   -6.363 eV per atom
Volume   12.09 Å³/atom
Energy above the most stable polymorph in this dataset   23 kJ/mol of formula units

Cell lengths 6.600, 5.297, 8.988 Å; angles 90.55, 90.00, 90.00 degrees
Fractional positions:
O (0.264, 0.258, 0.122)
O (0.263, 0.670, 0.057)
O (0.953, 0.928, 0.254)
O (0.263, 0.690, 0.640)
O (0.763, 0.330, 0.943)
O (0.263, 0.565, 0.298)
O (0.074, 0.074, 0.746)
O (0.264, 0.108, 0.500)
O (0.764, 0.892, 0.500)
O (0.574, 0.926, 0.254)
O (0.763, 0.310, 0.360)
O (0.763, 0.435, 0.702)
O (0.453, 0.072, 0.746)
O (0.764, 0.742, 0.878)
P (0.263, 0.979, 0.655)
P (0.763, 0.021, 0.345)
Na (0.514, 0.999, 0.000)
Na (0.513, 0.500, 0.500)
Na (0.264, 0.437, 0.837)
Na (0.013, 0.500, 0.500)
Na (0.014, 0.001, 0.000)
Na (0.764, 0.563, 0.163)
C (0.763, 0.502, 0.840)
C (0.263, 0.498, 0.160)
Mg (0.264, 0.967, 0.293)
Mg (0.764, 0.033, 0.707)


No. 8
Here is LaOsPb2 after structural relaxation from the Alexandria database. Energies are from PBE-GGA.

Summary:
Raw total energy   -5.698 eV per atom
Energy of formation   0.20 eV per atom
Volume   27.09 Å³/atom
Energy above the most stable polymorph in this dataset   47 kJ/mol of formula units

Cell lengths 3.425, 3.425, 9.240 Å; angles 90.00, 90.00, 90.11 degrees
Fractional positions:
La (0.000, 0.000, 0.563)
Pb (0.500, 0.500, 0.244)
Pb (0.000, 0.000, 0.940)
Os (0.500, 0.500, 0.753)


Density, record by record: 2.4; 5.7; 4.3; 2.4; 4.9; 4.5; 2.6; 11.4 g/cm³